NdZn4Au4 | Alexandria | PBE | optimized geometry; formation energy from the elements = -290 meV/atom; density of states at the Fermi level = 0.38 states/eV/atom; calculated total energy = -51.2 eV/cell
1.0
4.812 0.000 0.000
0.000 8.523 0.000
0.000 0.000 8.523
Nd Zn Au
2 8 8
Direct
0.000 0.000 0.000 Nd
0.500 0.500 0.500 Nd
0.500 0.881 0.229 Zn
0.500 0.119 0.771 Zn
0.000 0.729 0.619 Zn
0.000 0.381 0.729 Zn
0.000 0.619 0.271 Zn
0.500 0.229 0.119 Zn
0.500 0.771 0.881 Zn
0.000 0.271 0.381 Zn
0.500 0.415 0.853 Au
0.000 0.647 0.915 Au
0.500 0.585 0.147 Au
0.000 0.085 0.647 Au
0.500 0.853 0.585 Au
0.000 0.915 0.353 Au
0.000 0.353 0.085 Au
0.500 0.147 0.415 Au

Ba2TlGa3Pt4 | Alexandria | PBE | optimized geometry; formation energy from the elements = -703 meV/atom; density of states at the Fermi level = 0.37 states/eV/atom; calculated total energy = -46.5 eV/cell
1.0
-1.730 -1.069 -4.154
4.110 -1.693 -1.276
-2.817 -9.582 3.641
Ba Tl Ga Pt
2 1 3 4
Direct
0.500 0.000 0.239 Ba
0.000 0.500 0.761 Ba
0.500 0.500 0.500 Tl
0.000 0.000 0.500 Ga
0.500 0.000 0.888 Ga
0.000 0.500 0.112 Ga
0.500 0.500 0.000 Pt
0.000 0.000 0.000 Pt
0.500 0.000 0.645 Pt
0.000 0.500 0.355 Pt

Er2SbRh | Alexandria | PBE | optimized geometry; density of states at the Fermi level = 0.26 states/eV/atom; relative energy among the computed polymorphs = 0.225 eV/atom; calculated total energy = -23.6 eV/cell; formation energy without anion corrections = -740 meV per atom
1.0
5.056 0.000 0.000
2.528 4.378 0.000
2.528 1.459 4.150
Sb Rh Er
1 1 2
Direct
0.000 0.000 0.000 Sb
0.500 0.500 0.500 Rh
0.750 0.750 0.749 Er
0.250 0.250 0.251 Er

Question: What is the calculated total energy in the first record?
Answer: -51.2 eV/cell

Question: What is the calculated total energy in the first record?
Answer: -51.2 eV/cell

Question: Which formula does entry 2 have?
Answer: Ba2TlGa3Pt4

Question: Which of these has the lowest calculated total energy?
Answer: NdZn4Au4